(1)
# KSnI PBE relaxed
# - E_form (uncorrected): -0.654 eV per atom
# - Size of the total moment: 0.00 μB per atom
# - SG: C2/m, No. 12
# - Crystal system: monoclinic
data_KSnI
_cell_length_a 6.5816
_cell_length_b 6.5808
_cell_length_c 11.2649
_cell_angle_alpha 90.00
_cell_angle_beta 93.55
_cell_angle_gamma 90.00
_space_group_name_H-M_alt 'P 1'
_space_group_IT_number 1
loop_
_space_group_symop_operation_xyz
'x,y,z'
loop_
_atom_site_label
_atom_site_type_symbol
_atom_site_fract_x
_atom_site_fract_y
_atom_site_fract_z
K1 K 0.2288 0.0000 0.3199
K2 K 0.2712 0.5000 0.6801
K3 K 0.7288 0.5000 0.3199
K4 K 0.7712 0.0000 0.6801
Sn1 Sn 0.2480 0.5000 0.0257
Sn2 Sn 0.2520 0.0000 0.9743
Sn3 Sn 0.7480 0.0000 0.0257
Sn4 Sn 0.7520 0.5000 0.9743
I1 I 0.2321 0.5000 0.3476
I2 I 0.2679 0.0000 0.6524
I3 I 0.7321 0.0000 0.3476
I4 I 0.7679 0.5000 0.6524



(2)
# KSn4I8 PBE relaxed
# - E_form (uncorrected): -0.544 eV per atom
# - Size of the total moment: 0.00 μB per atom
# - SG: P-1, No. 2
# - Crystal system: triclinic
data_KSn4I8
_cell_length_a 9.4889
_cell_length_b 9.5539
_cell_length_c 9.7662
_cell_angle_alpha 61.10
_cell_angle_beta 61.06
_cell_angle_gamma 60.43
_space_group_name_H-M_alt 'P 1'
_space_group_IT_number 1
loop_
_space_group_symop_operation_xyz
'x,y,z'
loop_
_atom_site_label
_atom_site_type_symbol
_atom_site_fract_x
_atom_site_fract_y
_atom_site_fract_z
K1 K 0.0000 0.0000 0.0000
Sn1 Sn 0.0000 0.0000 0.5000
Sn2 Sn 0.0000 0.5000 0.5000
Sn3 Sn 0.5000 0.0000 0.5000
Sn4 Sn 0.5000 0.5000 0.5000
I1 I 0.2370 0.2374 0.2887
I2 I 0.2398 0.7374 0.2852
I3 I 0.2622 0.7608 0.7149
I4 I 0.2626 0.2626 0.7148
I5 I 0.7374 0.7374 0.2852
I6 I 0.7378 0.2392 0.2851
I7 I 0.7602 0.2626 0.7148
I8 I 0.7630 0.7626 0.7113



(3)
# K2SnI4 PBE relaxed
# - E_form (uncorrected): -1.070 eV per atom
# - Size of the total moment: 0.00 μB per atom
# - SG: Cmmm, No. 65
# - Crystal system: orthorhombic
data_K2SnI4
_cell_length_a 10.3742
_cell_length_b 14.1595
_cell_length_c 4.7851
_cell_angle_alpha 90.00
_cell_angle_beta 90.00
_cell_angle_gamma 90.00
_space_group_name_H-M_alt 'P 1'
_space_group_IT_number 1
loop_
_space_group_symop_operation_xyz
'x,y,z'
loop_
_atom_site_label
_atom_site_type_symbol
_atom_site_fract_x
_atom_site_fract_y
_atom_site_fract_z
K1 K 0.2500 0.2500 0.0000
K2 K 0.2500 0.7500 0.0000
K3 K 0.7500 0.2500 0.0000
K4 K 0.7500 0.7500 0.0000
Sn1 Sn 0.0000 0.0000 0.5000
Sn2 Sn 0.5000 0.5000 0.5000
I1 I 0.0000 0.2280 0.5000
I2 I 0.0000 0.7720 0.5000
I3 I 0.2124 0.0000 0.0000
I4 I 0.2876 0.5000 0.0000
I5 I 0.5000 0.2720 0.5000
I6 I 0.5000 0.7280 0.5000
I7 I 0.7124 0.5000 0.0000
I8 I 0.7876 0.0000 0.0000



(4)
# K5SnI8 PBE relaxed
# - E_form (uncorrected): -1.075 eV per atom
# - Size of the total moment: 0.00 μB per atom
# - SG: I-4, No. 82
# - Crystal system: tetragonal
data_K5SnI8
_cell_length_a 9.2586
_cell_length_b 9.2586
_cell_length_c 9.2586
_cell_angle_alpha 110.82
_cell_angle_beta 110.82
_cell_angle_gamma 106.80
_space_group_name_H-M_alt 'P 1'
_space_group_IT_number 1
loop_
_space_group_symop_operation_xyz
'x,y,z'
loop_
_atom_site_label
_atom_site_type_symbol
_atom_site_fract_x
_atom_site_fract_y
_atom_site_fract_z
K1 K 0.0000 0.0000 0.0000
K2 K 0.2445 0.6447 0.1365
K3 K 0.3553 0.4918 0.5998
K4 K 0.5082 0.1080 0.8635
K5 K 0.8920 0.7555 0.4002
Sn1 Sn 0.7500 0.2500 0.5000
I1 I 0.0875 0.2574 0.7315
I2 I 0.1411 0.7400 0.7644
I3 I 0.2600 0.0244 0.4011
I4 I 0.5258 0.3560 0.2685
I5 I 0.6233 0.8589 0.5989
I6 I 0.6440 0.9125 0.1699
I7 I 0.7426 0.4742 0.8301
I8 I 0.9756 0.3767 0.2356



(5)
# K3Sn2I7 PBE relaxed
# - E_form (uncorrected): -0.937 eV per atom
# - Size of the total moment: 0.00 μB per atom
# - SG: I4/mmm, No. 139
# - Crystal system: tetragonal
data_K3Sn2I7
_cell_length_a 15.6820
_cell_length_b 15.6820
_cell_length_c 15.6820
_cell_angle_alpha 157.04
_cell_angle_beta 157.04
_cell_angle_gamma 32.70
_space_group_name_H-M_alt 'P 1'
_space_group_IT_number 1
loop_
_space_group_symop_operation_xyz
'x,y,z'
loop_
_atom_site_label
_atom_site_type_symbol
_atom_site_fract_x
_atom_site_fract_y
_atom_site_fract_z
K1 K 0.0000 0.0000 0.0000
K2 K 0.1762 0.1762 0.0000
K3 K 0.8238 0.8238 0.0000
Sn1 Sn 0.3931 0.3931 0.0000
Sn2 Sn 0.6069 0.6069 0.0000
I1 I 0.1019 0.6019 0.5000
I2 I 0.2916 0.2916 0.0000
I3 I 0.3981 0.8981 0.5000
I4 I 0.5000 0.5000 0.0000
I5 I 0.6019 0.1019 0.5000
I6 I 0.7084 0.7084 0.0000
I7 I 0.8981 0.3981 0.5000



(6)
# KSn2I8 PBE relaxed
# - E_form (uncorrected): -0.531 eV per atom
# - Size of the total moment: 0.00 μB per atom
# - SG: C2/m, No. 12
# - Crystal system: monoclinic
data_KSn2I8
_cell_length_a 9.7096
_cell_length_b 9.7096
_cell_length_c 7.6335
_cell_angle_alpha 100.72
_cell_angle_beta 100.72
_cell_angle_gamma 73.76
_space_group_name_H-M_alt 'P 1'
_space_group_IT_number 1
loop_
_space_group_symop_operation_xyz
'x,y,z'
loop_
_atom_site_label
_atom_site_type_symbol
_atom_site_fract_x
_atom_site_fract_y
_atom_site_fract_z
K1 K 0.0000 0.0000 0.0000
Sn1 Sn 0.2162 0.2162 0.6936
Sn2 Sn 0.7838 0.7838 0.3064
I1 I 0.0691 0.6894 0.2306
I2 I 0.2117 0.2117 0.3256
I3 I 0.3106 0.9309 0.7694
I4 I 0.3931 0.3931 0.8907
I5 I 0.6069 0.6069 0.1093
I6 I 0.6894 0.0691 0.2306
I7 I 0.7883 0.7883 0.6744
I8 I 0.9309 0.3106 0.7694



The lowest E_form (uncorrected) belongs to which entry?
K5SnI8



Which value of E_form (uncorrected) does entry 5 give?
-0.937 eV per atom